#w
Below is crystalline YFeHgBi at its relaxed geometry, with properties calculated at the PBE level.

a = 7.1755 Å, b = 7.1755 Å, c = 7.1755 Å
α = 90.00°, β = 90.00°, γ = 90.00°
Closest atoms and distances in Å follow each position.
Space group F-43m (No. 216)
Symmetry-distinct sites (fractional):
Y 0.0000 0.0000 0.0000 (multiplicity 4)  4 Hg 3.11, 4 Bi 3.11
Fe 0.0000 0.0000 0.5000 (multiplicity 4)  4 Hg 3.11, 4 Bi 3.11
Hg 0.2500 0.2500 0.7500 (multiplicity 4)  4 Fe 3.11, 4 Y 3.11
Bi 0.2500 0.2500 0.2500 (multiplicity 4)  4 Fe 3.11, 4 Y 3.11

Output
Total magnetic moment in μB/f.u.: 2.242

#x
Below is crystalline YFeHgBi at its relaxed geometry, with properties calculated at the PBE level.

a = 7.2006 Å, b = 7.2006 Å, c = 7.2006 Å
α = 90.00°, β = 90.00°, γ = 90.00°
Closest atoms and distances in Å follow each position.
Space group F-43m (No. 216)
Symmetry-distinct sites (fractional):
Y 0.0000 0.0000 0.0000 (multiplicity 4)  4 Fe 3.12, 4 Hg 3.12
Fe 0.2500 0.2500 0.7500 (multiplicity 4)  4 Bi 3.12, 4 Y 3.12
Hg 0.2500 0.2500 0.2500 (multiplicity 4)  4 Y 3.12, 4 Bi 3.12
Bi 0.0000 0.0000 0.5000 (multiplicity 4)  4 Hg 3.12, 4 Fe 3.12

Output
Total magnetic moment in μB/f.u.: 1.998

Most stable: #w

#w
Below is crystalline ZrFeHgBi at its relaxed geometry, with properties calculated at the PBE level.

a = 7.0116 Å, b = 7.0116 Å, c = 7.0116 Å
α = 90.00°, β = 90.00°, γ = 90.00°
Closest atoms and distances in Å follow each position.
Space group F-43m (No. 216)
Symmetry-distinct sites (fractional):
Zr 0.0000 0.0000 0.0000 (multiplicity 4)  4 Fe 3.04, 4 Hg 3.04
Fe 0.2500 0.2500 0.7500 (multiplicity 4)  4 Zr 3.04, 4 Bi 3.04
Hg 0.2500 0.2500 0.2500 (multiplicity 4)  4 Zr 3.04, 4 Bi 3.04
Bi 0.0000 0.0000 0.5000 (multiplicity 4)  4 Hg 3.04, 4 Fe 3.04

Output
Total magnetic moment in μB/f.u.: 1.274

#x
Below is crystalline ZrFeHgBi at its relaxed geometry, with properties calculated at the PBE level.

a = 6.9452 Å, b = 6.9452 Å, c = 6.9452 Å
α = 90.00°, β = 90.00°, γ = 90.00°
Closest atoms and distances in Å follow each position.
Space group F-43m (No. 216)
Symmetry-distinct sites (fractional):
Zr 0.0000 0.0000 0.0000 (multiplicity 4)  4 Hg 3.01, 4 Bi 3.01
Fe 0.0000 0.0000 0.5000 (multiplicity 4)  4 Hg 3.01, 4 Bi 3.01
Hg 0.2500 0.2500 0.7500 (multiplicity 4)  4 Zr 3.01, 4 Fe 3.01
Bi 0.2500 0.2500 0.2500 (multiplicity 4)  4 Fe 3.01, 4 Zr 3.01

Output
Total magnetic moment in μB/f.u.: 1.754

Most stable: #x

#w
Below is crystalline ZrFeBiIr at its relaxed geometry, with properties calculated at the PBE level.

a = 6.6279 Å, b = 6.6279 Å, c = 6.6279 Å
α = 90.00°, β = 90.00°, γ = 90.00°
Closest atoms and distances in Å follow each position.
Space group F-43m (No. 216)
Symmetry-distinct sites (fractional):
Zr 0.0000 0.0000 0.0000 (multiplicity 4)  4 Ir 2.87, 4 Fe 2.87
Fe 0.2500 0.2500 0.7500 (multiplicity 4)  4 Zr 2.87, 4 Bi 2.87
Bi 0.0000 0.0000 0.5000 (multiplicity 4)  4 Fe 2.87, 4 Ir 2.87
Ir 0.2500 0.2500 0.2500 (multiplicity 4)  4 Bi 2.87, 4 Zr 2.87

Output
Total magnetic moment in μB/f.u.: 2.000

#x
Below is crystalline ZrFeBiIr at its relaxed geometry, with properties calculated at the PBE level.

a = 6.6090 Å, b = 6.6090 Å, c = 6.6090 Å
α = 90.00°, β = 90.00°, γ = 90.00°
Closest atoms and distances in Å follow each position.
Space group F-43m (No. 216)
Symmetry-distinct sites (fractional):
Zr 0.0000 0.0000 0.0000 (multiplicity 4)  4 Bi 2.86, 4 Ir 2.86
Fe 0.0000 0.0000 0.5000 (multiplicity 4)  4 Ir 2.86, 4 Bi 2.86
Bi 0.2500 0.2500 0.2500 (multiplicity 4)  4 Zr 2.86, 4 Fe 2.86
Ir 0.2500 0.2500 0.7500 (multiplicity 4)  4 Zr 2.86, 4 Fe 2.86

Output
Total magnetic moment in μB/f.u.: 2.764

Most stable: #w

#w
Below is crystalline LiTaFeBi at its relaxed geometry, with properties calculated at the PBE level.

a = 6.3247 Å, b = 6.3247 Å, c = 6.3247 Å
α = 90.00°, β = 90.00°, γ = 90.00°
Closest atoms and distances in Å follow each position.
Space group F-43m (No. 216)
Symmetry-distinct sites (fractional):
Li 0.0000 0.0000 0.0000 (multiplicity 4)  4 Ta 2.74, 4 Bi 2.74
Ta 0.2500 0.2500 0.7500 (multiplicity 4)  4 Fe 2.74, 4 Li 2.74
Fe 0.0000 0.0000 0.5000 (multiplicity 4)  4 Ta 2.74, 4 Bi 2.74
Bi 0.2500 0.2500 0.2500 (multiplicity 4)  4 Fe 2.74, 4 Li 2.74

Output
Total magnetic moment in μB/f.u.: 0.873

#x
Below is crystalline LiTaFeBi at its relaxed geometry, with properties calculated at the PBE level.

a = 6.5277 Å, b = 6.5277 Å, c = 6.5277 Å
α = 90.00°, β = 90.00°, γ = 90.00°
Closest atoms and distances in Å follow each position.
Space group F-43m (No. 216)
Symmetry-distinct sites (fractional):
Li 0.0000 0.0000 0.0000 (multiplicity 4)  4 Fe 2.83, 4 Ta 2.83
Ta 0.2500 0.2500 0.2500 (multiplicity 4)  4 Li 2.83, 4 Bi 2.83
Fe 0.2500 0.2500 0.7500 (multiplicity 4)  4 Li 2.83, 4 Bi 2.83
Bi 0.0000 0.0000 0.5000 (multiplicity 4)  4 Ta 2.83, 4 Fe 2.83

Output
Total magnetic moment in μB/f.u.: 2.322

Most stable: #w

#w
Below is crystalline LiZnFeBi at its relaxed geometry, with properties calculated at the PBE level.

a = 6.5877 Å, b = 6.5877 Å, c = 6.5877 Å
α = 90.00°, β = 90.00°, γ = 90.00°
Closest atoms and distances in Å follow each position.
Space group F-43m (No. 216)
Symmetry-distinct sites (fractional):
Li 0.0000 0.0000 0.0000 (multiplicity 4)  4 Fe 2.85, 4 Bi 2.85
Zn 0.0000 0.0000 0.5000 (multiplicity 4)  4 Bi 2.85, 4 Fe 2.85
Fe 0.2500 0.2500 0.7500 (multiplicity 4)  4 Li 2.85, 4 Zn 2.85
Bi 0.2500 0.2500 0.2500 (multiplicity 4)  4 Li 2.85, 4 Zn 2.85

Output
Total magnetic moment in μB/f.u.: 2.588

#x
Below is crystalline LiZnFeBi at its relaxed geometry, with properties calculated at the PBE level.

a = 6.2950 Å, b = 6.2950 Å, c = 6.2950 Å
α = 90.00°, β = 90.00°, γ = 90.00°
Closest atoms and distances in Å follow each position.
Space group F-43m (No. 216)
Symmetry-distinct sites (fractional):
Li 0.0000 0.0000 0.0000 (multiplicity 4)  4 Bi 2.73, 4 Zn 2.73
Zn 0.2500 0.2500 0.7500 (multiplicity 4)  4 Fe 2.73, 4 Li 2.73
Fe 0.0000 0.0000 0.5000 (multiplicity 4)  4 Zn 2.73, 4 Bi 2.73
Bi 0.2500 0.2500 0.2500 (multiplicity 4)  4 Fe 2.73, 4 Li 2.73

Output
Total magnetic moment in μB/f.u.: 1.534

Most stable: #x

#w
Below is crystalline LuFeBiOs at its relaxed geometry, with properties calculated at the PBE level.

a = 6.5655 Å, b = 6.5655 Å, c = 6.5655 Å
α = 90.00°, β = 90.00°, γ = 90.00°
Closest atoms and distances in Å follow each position.
Space group F-43m (No. 216)
Symmetry-distinct sites (fractional):
Lu 0.0000 0.0000 0.0000 (multiplicity 4)  4 Fe 2.84, 4 Os 2.84
Fe 0.2500 0.2500 0.7500 (multiplicity 4)  4 Bi 2.84, 4 Lu 2.84
Bi 0.0000 0.0000 0.5000 (multiplicity 4)  4 Os 2.84, 4 Fe 2.84
Os 0.2500 0.2500 0.2500 (multiplicity 4)  4 Bi 2.84, 4 Lu 2.84

Output
Total magnetic moment in μB/f.u.: 0.082

#x
Below is crystalline LuFeBiOs at its relaxed geometry, with properties calculated at the PBE level.

a = 6.6858 Å, b = 6.6858 Å, c = 6.6858 Å
α = 90.00°, β = 90.00°, γ = 90.00°
Closest atoms and distances in Å follow each position.
Space group F-43m (No. 216)
Symmetry-distinct sites (fractional):
Lu 0.0000 0.0000 0.0000 (multiplicity 4)  4 Bi 2.90, 4 Os 2.90
Fe 0.0000 0.0000 0.5000 (multiplicity 4)  4 Bi 2.90, 4 Os 2.90
Bi 0.2500 0.2500 0.2500 (multiplicity 4)  4 Fe 2.90, 4 Lu 2.90
Os 0.2500 0.2500 0.7500 (multiplicity 4)  4 Lu 2.90, 4 Fe 2.90

Output
Total magnetic moment in μB/f.u.: 3.930

Most stable: #w

#w
Below is crystalline LuFeBiPd at its relaxed geometry, with properties calculated at the PBE level.

a = 6.7490 Å, b = 6.7490 Å, c = 6.7490 Å
α = 90.00°, β = 90.00°, γ = 90.00°
Closest atoms and distances in Å follow each position.
Space group F-43m (No. 216)
Symmetry-distinct sites (fractional):
Lu 0.0000 0.0000 0.0000 (multiplicity 4)  4 Fe 2.92, 4 Pd 2.92
Fe 0.2500 0.2500 0.7500 (multiplicity 4)  4 Bi 2.92, 4 Lu 2.92
Bi 0.0000 0.0000 0.5000 (multiplicity 4)  4 Pd 2.92, 4 Fe 2.92
Pd 0.2500 0.2500 0.2500 (multiplicity 4)  4 Lu 2.92, 4 Bi 2.92

Output
Total magnetic moment in μB/f.u.: 1.916

#x
Below is crystalline LuFeBiPd at its relaxed geometry, with properties calculated at the PBE level.

a = 6.8350 Å, b = 6.8350 Å, c = 6.8350 Å
α = 90.00°, β = 90.00°, γ = 90.00°
Closest atoms and distances in Å follow each position.
Space group F-43m (No. 216)
Symmetry-distinct sites (fractional):
Lu 0.0000 0.0000 0.0000 (multiplicity 4)  4 Bi 2.96, 4 Pd 2.96
Fe 0.0000 0.0000 0.5000 (multiplicity 4)  4 Bi 2.96, 4 Pd 2.96
Bi 0.2500 0.2500 0.2500 (multiplicity 4)  4 Fe 2.96, 4 Lu 2.96
Pd 0.2500 0.2500 0.7500 (multiplicity 4)  4 Fe 2.96, 4 Lu 2.96

Output
Total magnetic moment in μB/f.u.: 2.622

Most stable: #w

#w
Below is crystalline MgNbFeBi at its relaxed geometry, with properties calculated at the PBE level.

a = 6.6653 Å, b = 6.6653 Å, c = 6.6653 Å
α = 90.00°, β = 90.00°, γ = 90.00°
Closest atoms and distances in Å follow each position.
Space group F-43m (No. 216)
Symmetry-distinct sites (fractional):
Mg 0.0000 0.0000 0.0000 (multiplicity 4)  4 Nb 2.89, 4 Bi 2.89
Nb 0.2500 0.2500 0.7500 (multiplicity 4)  4 Fe 2.89, 4 Mg 2.89
Fe 0.0000 0.0000 0.5000 (multiplicity 4)  4 Nb 2.89, 4 Bi 2.89
Bi 0.2500 0.2500 0.2500 (multiplicity 4)  4 Fe 2.89, 4 Mg 2.89

Output
Total magnetic moment in μB/f.u.: 0.292

#x
Below is crystalline MgNbFeBi at its relaxed geometry, with properties calculated at the PBE level.

a = 6.6804 Å, b = 6.6804 Å, c = 6.6804 Å
α = 90.00°, β = 90.00°, γ = 90.00°
Closest atoms and distances in Å follow each position.
Space group F-43m (No. 216)
Symmetry-distinct sites (fractional):
Mg 0.0000 0.0000 0.0000 (multiplicity 4)  4 Nb 2.89, 4 Fe 2.89
Nb 0.2500 0.2500 0.2500 (multiplicity 4)  4 Bi 2.89, 4 Mg 2.89
Fe 0.2500 0.2500 0.7500 (multiplicity 4)  4 Bi 2.89, 4 Mg 2.89
Bi 0.0000 0.0000 0.5000 (multiplicity 4)  4 Nb 2.89, 4 Fe 2.89

Output
Total magnetic moment in μB/f.u.: 2.994

Most stable: #w